Density functional theory data (PBE+U) for an optimized crystal structure of Ca2TlCoO5.

* space-group type: No. 36
* final energy: -5.7341 eV/atom

Cell lengths 3.3601, 6.8924, 10.4829 Å; angles 90.00, 90.00, 104.11 degrees
Positions (direct):
Ca  0.8565  0.7131  0.8128
Ca  0.0932  0.1865  0.6787
Ca  0.1435  0.2869  0.3128
Ca  0.9068  0.8135  0.1787
Tl  0.7906  0.5811  0.5277
Tl  0.2094  0.4189  0.0277
Co  0.5229  0.0458  0.9425
Co  0.4771  0.9542  0.4425
O  0.3785  0.7570  0.9907
O  0.6628  0.3255  0.8866
O  0.4865  0.9729  0.7730
O  0.2705  0.5409  0.6782
O  0.9599  0.9197  0.5337
O  0.6215  0.2430  0.4907
O  0.3372  0.6745  0.3866
O  0.5135  0.0271  0.2730
O  0.7296  0.4591  0.1782
O  0.0401  0.0803  0.0337



Density functional theory data (PBE+U) for an optimized crystal structure of PmNi2B2O6.

* space-group type: No. 147
* final energy: -6.7795 eV/atom

Cell lengths 5.1268, 5.1268, 6.0656 Å; angles 90.00, 90.00, 120.00 degrees
Positions (direct):
Pm  0.0000  0.0000  0.0000
Ni  0.3333  0.6667  0.3277
Ni  0.6667  0.3333  0.6723
B  0.3333  0.6667  0.7608
B  0.6667  0.3333  0.2392
O  0.3336  0.3962  0.7639
O  0.0627  0.6664  0.7639
O  0.6038  0.9373  0.7639
O  0.6664  0.6038  0.2361
O  0.9373  0.3336  0.2361
O  0.3962  0.0627  0.2361



Question: final energy of number 1 (Ca2TlCoO5)?
Answer: -5.7341 eV/atom



Question: What is the final energy in the second record?
Answer: -6.7795 eV/atom



Question: What is the formula in the first record?
Answer: Ca2TlCoO5